The following is a DFT calculation (GGA-PBE) of an optimized crystal structure of BaSn3B.

Lattice parameters (Å, degrees): 5.134 5.134 5.134 90.00 90.00 90.00
Atoms (fractional coordinates):
Sn 0.500 0.000 0.000
Ba 0.500 0.500 0.500
Sn 0.000 0.000 0.500
B 0.000 0.000 0.000
Sn 0.000 0.500 0.000

SG: Pm-3m, No. 221
Total energy in eV/atom: -3.884
ΔH_f (0 K) in eV/atom: 0.2382

=====

The following is a DFT calculation (GGA-PBE) of an optimized crystal structure of Li2HgAu.

Lattice parameters (Å, degrees): 2.956 4.115 5.795 90.00 90.00 90.00
Atoms (fractional coordinates):
Au 0.000 0.000 0.456
Hg 0.500 0.500 0.777
Li 0.500 0.500 0.276
Li 0.000 0.000 0.991

SG: Pmm2, No. 25
Total energy in eV/atom: -2.200
ΔH_f (0 K) in eV/atom: -0.3478

=====

Offset from the most stable computed form / kJ/mol of formula units: 0; 41